A relaxed structure of HfSc, computed with PBE.

Calculated values
M_tot (μB per cell): 1.88
Uncorrected energy (eV/atom): -6.51

```
4
Lattice="-3.866 3.277 -1.047 -0.753 -5.104 -0.406 -1.594 -0.187 5.303" Properties=species:S:1:pos:R:3 pbc="T T T"
Sc -4.024 0.343 3.144
Hf -3.227 0.437 0.493
Sc -2.189 -2.357 0.706
Hf -2.986 -2.451 3.358
```